ZnSi3B: relaxed, GGA-PBE.

Output
crystal system: cubic
symmetry: Pm-3m (221)
V: 72 Å³/f.u.
density: 3.7 Mg/m³
energy relative to the elements, uncorrected: 710 meV/atom

Cell: 4.162 4.162 4.162 Å, 90.00 90.00 90.00°
Positions (direct):
Zn 0.500 0.500 0.500
B 0.000 0.000 0.000
Si 0.000 0.500 0.000
Si 0.000 0.000 0.500
Si 0.500 0.000 0.000

=====

ZnSiB3: relaxed, GGA-PBE.

Output
crystal system: cubic
symmetry: Pm-3m (221)
V: 65 Å³/f.u.
density: 3.2 Mg/m³
energy relative to the elements, uncorrected: 1536 meV/atom

Cell: 4.011 4.011 4.011 Å, 90.00 90.00 90.00°
Positions (direct):
Zn 0.500 0.500 0.500
B 0.000 0.500 0.000
B 0.000 0.000 0.500
B 0.500 0.000 0.000
Si 0.000 0.000 0.000